No. 1
Computed, not measured: an optimized crystal structure of Na3VAsCO7 at the PBEsol level of DFT.

Computed properties:
ΔE_f (raw): -1.65 eV/atom
Magnetization: 2.97 μB per formula unit

Lattice parameters (Å, degrees): 5.201 6.817 9.065 90.00 91.51 90.00
Element x y z (fractional)
Na  0.228  0.250  0.082
Na  0.256  0.508  0.735
Na  0.256  0.992  0.735
Na  0.744  0.008  0.265
Na  0.744  0.492  0.265
Na  0.772  0.750  0.918
V  0.223  0.750  0.335
V  0.777  0.250  0.665
As  0.288  0.250  0.417
As  0.712  0.750  0.583
C  0.285  0.750  0.056
C  0.715  0.250  0.944
O  0.060  0.750  0.115
O  0.139  0.250  0.586
O  0.215  0.052  0.302
O  0.215  0.448  0.302
O  0.311  0.750  0.916
O  0.380  0.750  0.548
O  0.483  0.750  0.148
O  0.517  0.250  0.852
O  0.620  0.250  0.452
O  0.689  0.250  0.084
O  0.785  0.552  0.698
O  0.785  0.948  0.698
O  0.861  0.750  0.414
O  0.940  0.250  0.885

=====

No. 2
Computed, not measured: an optimized crystal structure of BaAs2 at the PBEsol level of DFT.

Computed properties:
Magnetization: 0.00 μB per formula unit
Raw total energy: -29.33 eV for the cell shown

Lattice parameters (Å, degrees): 4.565 4.565 9.205 90.00 90.00 120.00
Element x y z (fractional)
Ba  0.000  0.000  0.250
Ba  0.000  0.000  0.750
As  0.333  0.667  0.011
As  0.333  0.667  0.489
As  0.667  0.333  0.511
As  0.667  0.333  0.989

=====

No. 3
Computed, not measured: an optimized crystal structure of TaAg2Br at the PBEsol level of DFT.

Computed properties:
ΔE_f (raw): 0.39 eV/atom
Relative energy among the computed polymorphs: 181 meV/atom
Magnetization: 0.00 μB per formula unit

Lattice parameters (Å, degrees): 4.746 4.746 5.458 100.32 100.32 36.91
Element x y z (fractional)
Ta  0.000  0.000  0.000
Ag  0.497  0.497  0.497
Ag  0.748  0.748  0.295
Br  0.259  0.259  0.820

=====

Copy entry 3 word for word.
Computed, not measured: an optimized crystal structure of TaAg2Br at the PBEsol level of DFT.

Computed properties:
ΔE_f (raw): 0.39 eV/atom
Relative energy among the computed polymorphs: 181 meV/atom
Magnetization: 0.00 μB per formula unit

Lattice parameters (Å, degrees): 4.746 4.746 5.458 100.32 100.32 36.91
Element x y z (fractional)
Ta  0.000  0.000  0.000
Ag  0.497  0.497  0.497
Ag  0.748  0.748  0.295
Br  0.259  0.259  0.820